No. 1
A plane-wave DFT calculation with PBE-GGA was carried out for Pr2CdGe3Ir4 after structural relaxation.

## Properties
Calculated formation energy ... -615 meV/atom
Magnetization ... 0.00 μB/atom

Lattice parameters (Å, degrees): 4.250 4.250 10.776 90.00 90.00 90.00
Atoms (fractional coordinates):
Pr 0.000 0.500 0.244
Pr 0.500 0.000 0.756
Cd 0.000 0.000 0.500
Ge 0.000 0.500 0.875
Ge 0.500 0.000 0.125
Ge 0.500 0.500 0.500
Ir 0.000 0.000 0.000
Ir 0.000 0.500 0.649
Ir 0.500 0.000 0.351
Ir 0.500 0.500 0.000



No. 2
A plane-wave DFT calculation with PBE-GGA was carried out for RbCd2GeIr after structural relaxation.

## Properties
Calculated formation energy ... -156 meV/atom
Magnetization ... 0.00 μB/atom

Lattice parameters (Å, degrees): 5.379 5.379 4.731 90.00 90.00 90.00
Atoms (fractional coordinates):
Rb 0.000 0.000 0.000
Cd 0.000 0.500 0.500
Cd 0.500 0.000 0.500
Ge 0.500 0.500 0.000
Ir 0.500 0.500 0.500



No. 3
A plane-wave DFT calculation with PBE-GGA was carried out for CdGeIr2Ru after structural relaxation.

## Properties
Calculated formation energy ... 2284 meV/atom
Magnetization ... 0.69 μB/atom

Lattice parameters (Å, degrees): 4.899 4.899 4.714 90.00 90.00 90.00
Atoms (fractional coordinates):
Cd 0.000 0.000 0.000
Ge 0.000 0.000 0.500
Ir 0.000 0.500 0.000
Ir 0.500 0.000 0.000
Ru 0.500 0.500 0.500



No. 4
A plane-wave DFT calculation with PBE-GGA was carried out for Sc2CdGeIr after structural relaxation.

## Properties
Calculated formation energy ... -235 meV/atom
Magnetization ... 0.00 μB/atom

Lattice parameters (Å, degrees): 5.104 5.104 4.685 90.00 90.00 90.00
Atoms (fractional coordinates):
Sc 0.000 0.500 0.000
Sc 0.500 0.000 0.000
Cd 0.000 0.000 0.500
Ge 0.500 0.500 0.500
Ir 0.500 0.500 0.000



No. 5
A plane-wave DFT calculation with PBE-GGA was carried out for Sm2CdGe4Ir3 after structural relaxation.

## Properties
Calculated formation energy ... -617 meV/atom
Magnetization ... 0.00 μB/atom

Lattice parameters (Å, degrees): 4.316 4.316 10.382 90.00 90.00 90.00
Atoms (fractional coordinates):
Sm 0.000 0.500 0.234
Sm 0.500 0.000 0.766
Cd 0.000 0.000 0.500
Ge 0.000 0.000 0.000
Ge 0.000 0.500 0.647
Ge 0.500 0.000 0.353
Ge 0.500 0.500 0.000
Ir 0.000 0.500 0.880
Ir 0.500 0.000 0.120
Ir 0.500 0.500 0.500



No. 6
A plane-wave DFT calculation with PBE-GGA was carried out for Sm2CdGe3Ir4 after structural relaxation.

## Properties
Calculated formation energy ... -621 meV/atom
Magnetization ... 0.00 μB/atom

Lattice parameters (Å, degrees): 4.197 4.197 10.842 90.00 90.00 90.00
Atoms (fractional coordinates):
Sm 0.000 0.500 0.242
Sm 0.500 0.000 0.758
Cd 0.000 0.000 0.500
Ge 0.000 0.500 0.875
Ge 0.500 0.000 0.125
Ge 0.500 0.500 0.500
Ir 0.000 0.000 0.000
Ir 0.000 0.500 0.652
Ir 0.500 0.000 0.348
Ir 0.500 0.500 0.000



No. 7
A plane-wave DFT calculation with PBE-GGA was carried out for Sr2CdGe4Ir3 after structural relaxation.

## Properties
Calculated formation energy ... -460 meV/atom
Magnetization ... 0.00 μB/atom

Lattice parameters (Å, degrees): 4.400 4.400 10.490 90.00 90.00 90.00
Atoms (fractional coordinates):
Sr 0.000 0.500 0.240
Sr 0.500 0.000 0.760
Cd 0.000 0.000 0.500
Ge 0.000 0.000 0.000
Ge 0.000 0.500 0.645
Ge 0.500 0.000 0.355
Ge 0.500 0.500 0.000
Ir 0.000 0.500 0.882
Ir 0.500 0.000 0.118
Ir 0.500 0.500 0.500



No. 8
A plane-wave DFT calculation with PBE-GGA was carried out for SrCdGe2Ir after structural relaxation.

## Properties
Calculated formation energy ... 1081 meV/atom
Magnetization ... 0.00 μB/atom

Lattice parameters (Å, degrees): 4.942 4.942 5.808 90.00 90.00 90.00
Atoms (fractional coordinates):
Sr 0.000 0.000 0.000
Cd 0.000 0.000 0.500
Ge 0.000 0.500 0.500
Ge 0.500 0.000 0.500
Ir 0.500 0.500 0.000